Here is a relaxed Rb2Tl2Au3 crystal from Alexandria via LeMat-Bulk. Energies are from PBE.

Cell lengths 4.879, 6.899, 7.893 Å; angles 118.84, 90.00, 110.71 degrees
Atoms (fractional coordinates):
1 Rb 0.848 0.697 0.210
2 Rb 0.152 0.303 0.790
3 Tl 0.845 0.689 0.714
4 Tl 0.155 0.311 0.286
5 Au 0.500 0.000 0.000
6 Au 0.575 0.149 0.415
7 Au 0.425 0.851 0.585

Summary:
Formation enthalpy at 0 K: -173 meV/atom
Total DFT energy (no corrections): -2.530 eV/atom

=====

Here is a relaxed Li3Np3CoSe8 crystal from Alexandria via LeMat-Bulk. Energies are from PBE.

Cell lengths 7.880, 7.880, 7.959 Å; angles 119.67, 90.00, 120.00 degrees
Site moments in Bohr magnetons follow the coordinates.
Atoms (fractional coordinates):
1 Li 0.000 0.000 0.000  -0.01
2 Li 0.000 0.500 0.000  -0.01
3 Li 0.500 0.500 0.000  -0.01
4 Np 0.500 0.000 0.500  3.64
5 Np 0.500 0.500 0.500  3.64
6 Np 0.000 0.500 0.500  3.64
7 Co 0.000 0.000 0.500  0.58
8 Se 0.246 0.491 0.237  -0.09
9 Se 0.754 0.509 0.763  -0.09
10 Se 0.772 0.543 0.266  -0.10
11 Se 0.228 0.457 0.734  -0.10
12 Se 0.772 0.995 0.266  -0.10
13 Se 0.228 0.005 0.734  -0.10
14 Se 0.223 0.995 0.266  -0.10
15 Se 0.777 0.005 0.734  -0.10

Summary:
Total DFT energy (no corrections): -6.283 eV/atom

=====

Here is a relaxed Fe2AgW2 crystal from Alexandria via LeMat-Bulk. Energies are from PBE.

Cell lengths 7.183, 7.183, 2.772 Å; angles 90.00, 90.00, 90.00 degrees
Atoms (fractional coordinates):
1 Ag 0.000 0.000 0.000
2 Ag 0.500 0.500 0.000
3 W 0.159 0.659 0.500
4 W 0.659 0.841 0.500
5 W 0.841 0.341 0.500
6 W 0.341 0.159 0.500
7 Fe 0.366 0.866 0.000
8 Fe 0.866 0.634 0.000
9 Fe 0.634 0.134 0.000
10 Fe 0.134 0.366 0.000

Summary:
Formation enthalpy at 0 K: 327 meV/atom
Total DFT energy (no corrections): -8.810 eV/atom

=====

Here is a relaxed KCeMgSe3 crystal from Alexandria via LeMat-Bulk. Energies are from PBE.

Cell lengths 4.374, 9.161, 10.175 Å; angles 104.83, 90.00, 90.00 degrees
Site moments in Bohr magnetons follow the coordinates.
Atoms (fractional coordinates):
1 K 0.750 0.804 0.786  0.00
2 K 0.250 0.196 0.214  0.00
3 Ce 0.250 0.667 0.143  0.96
4 Ce 0.750 0.333 0.857  0.96
5 Mg 0.250 0.085 0.605  0.00
6 Mg 0.750 0.915 0.395  0.00
7 Se 0.250 0.800 0.466  0.00
8 Se 0.750 0.891 0.141  -0.01
9 Se 0.750 0.452 0.154  -0.02
10 Se 0.750 0.200 0.534  0.00
11 Se 0.250 0.548 0.846  -0.02
12 Se 0.250 0.109 0.859  -0.01

Summary:
Total DFT energy (no corrections): -4.679 eV/atom

=====

Magnetic moment (μB/f.u.)
0.00 10.99 0.00 1.00